Record 1
Computed, not measured: NpVFeP2 after structural relaxation at the PBE level of DFT.

Summary:
**Formation energy**: -0.66 eV/atom
**Fermi-level density of states**: 11.4 states/eV/f.u.
**M_tot**: 2.7 μB/f.u.
**Calculated density**: 8.941 g/cm3

CIF file:
```
data_NpVFeP2
_chemical_formula_sum 'Np2 V2 Fe2 P4'
_cell_length_a 3.736
_cell_length_b 3.736
_cell_length_c 10.799
_cell_angle_alpha 90.00
_cell_angle_beta 90.00
_cell_angle_gamma 90.00
_space_group_name_H-M_alt 'I -4 m 2'
_space_group_IT_number 119
_space_group_name_Hall 'I -4 -2'
loop_
_atom_site_label
_atom_site_type_symbol
_atom_site_fract_x
_atom_site_fract_y
_atom_site_fract_z
Np1 Np 0.000 0.000 0.000
V1 V 0.000 0.500 0.750
Fe1 Fe 0.000 0.500 0.250
P1 P 0.000 0.000 0.377
```

=====

Record 2
Computed, not measured: NpPaFe after structural relaxation at the PBE level of DFT.

Summary:
**Formation energy**: 0.12 eV/atom
**Fermi-level density of states**: 6.7 states/eV/f.u.
**M_tot**: 3.1 μB/f.u.
**Calculated density**: 15.477 g/cm3

CIF file:
```
data_NpPaFe
_chemical_formula_sum 'Np2 Pa2 Fe2'
_cell_length_a 3.473
_cell_length_b 3.473
_cell_length_c 9.318
_cell_angle_alpha 90.00
_cell_angle_beta 90.00
_cell_angle_gamma 90.00
_space_group_name_H-M_alt 'I 4 m m'
_space_group_IT_number 107
_space_group_name_Hall 'I 4 -2'
loop_
_atom_site_label
_atom_site_type_symbol
_atom_site_fract_x
_atom_site_fract_y
_atom_site_fract_z
Np1 Np 0.000 0.000 0.000
Pa1 Pa 0.000 0.000 0.312
Fe1 Fe 0.000 0.000 0.655
```

=====

Record 3
Computed, not measured: NpPaFe4 after structural relaxation at the PBE level of DFT.

Summary:
**Formation energy**: -0.12 eV/atom
**Fermi-level density of states**: 12.7 states/eV/f.u.
**M_tot**: 1.5 μB/f.u.
**Calculated density**: 13.016 g/cm3

CIF file:
```
data_NpPaFe4
_chemical_formula_sum 'Np4 Pa4 Fe16'
_cell_length_a 7.066
_cell_length_b 7.066
_cell_length_c 7.066
_cell_angle_alpha 90.00
_cell_angle_beta 90.00
_cell_angle_gamma 90.00
_space_group_name_H-M_alt 'F -4 3 m'
_space_group_IT_number 216
_space_group_name_Hall 'F -4 2 3'
loop_
_atom_site_label
_atom_site_type_symbol
_atom_site_fract_x
_atom_site_fract_y
_atom_site_fract_z
Np1 Np 0.000 0.000 0.000
Pa1 Pa 0.250 0.250 0.250
Fe1 Fe 0.126 0.126 0.626
```

=====

Record 4
Computed, not measured: NpPa2Fe9 after structural relaxation at the PBE level of DFT.

Summary:
**Formation energy**: -0.07 eV/atom
**Fermi-level density of states**: 17.6 states/eV/f.u.
**M_tot**: 11.1 μB/f.u.
**Calculated density**: 11.414 g/cm3

CIF file:
```
data_NpPa2Fe9
_chemical_formula_sum 'Np3 Pa6 Fe27'
_cell_length_a 4.8959
_cell_length_b 4.8959
_cell_length_c 25.2648
_cell_angle_alpha 90.00
_cell_angle_beta 90.00
_cell_angle_gamma 120.00
_space_group_name_H-M_alt 'R -3 m'
_space_group_IT_number 166
_space_group_name_Hall '-R 3 2"'
loop_
_atom_site_label
_atom_site_type_symbol
_atom_site_fract_x
_atom_site_fract_y
_atom_site_fract_z
Np1 Np 0.0000 0.0000 0.0000
Pa1 Pa 0.0000 0.0000 0.1422
Fe1 Fe 0.0000 0.0000 0.3329
Fe2 Fe 0.0000 0.0000 0.5000
Fe3 Fe 0.0006 0.5003 0.9178
```

=====

Record 5
Computed, not measured: NpPaFePt after structural relaxation at the PBE level of DFT.

Summary:
**Formation energy**: -0.40 eV/atom
**Fermi-level density of states**: 5.1 states/eV/f.u.
**M_tot**: 2.1 μB/f.u.
**Calculated density**: 16.813 g/cm3

CIF file:
```
data_NpPaFePt
_chemical_formula_sum 'Np4 Pa4 Fe4 Pt4'
_cell_length_a 6.573
_cell_length_b 6.573
_cell_length_c 6.573
_cell_angle_alpha 90.00
_cell_angle_beta 90.00
_cell_angle_gamma 90.00
_space_group_name_H-M_alt 'F -4 3 m'
_space_group_IT_number 216
_space_group_name_Hall 'F -4 2 3'
loop_
_atom_site_label
_atom_site_type_symbol
_atom_site_fract_x
_atom_site_fract_y
_atom_site_fract_z
Np1 Np 0.000 0.000 0.000
Pa1 Pa 0.250 0.250 0.250
Fe1 Fe 0.000 0.000 0.500
Pt1 Pt 0.250 0.250 0.750
```

=====

Record 6
Computed, not measured: NpPaFeSb after structural relaxation at the PBE level of DFT.

Summary:
**Fermi-level density of states**: 7.6 states/eV/f.u.
**Formation energy (no corrections)**: 0.253 eV/atom
**M_tot**: 6.6 μB/f.u.
**Calculated density**: 13.207 g/cm3

CIF file:
```
data_NpPaFeSb
_chemical_formula_sum 'Np4 Pa4 Fe4 Sb4'
_cell_length_a 6.873
_cell_length_b 6.873
_cell_length_c 6.873
_cell_angle_alpha 90.00
_cell_angle_beta 90.00
_cell_angle_gamma 90.00
_space_group_name_H-M_alt 'F -4 3 m'
_space_group_IT_number 216
_space_group_name_Hall 'F -4 2 3'
loop_
_atom_site_label
_atom_site_type_symbol
_atom_site_fract_x
_atom_site_fract_y
_atom_site_fract_z
Np1 Np 0.000 0.000 0.000
Pa1 Pa 0.250 0.250 0.250
Fe1 Fe 0.000 0.000 0.500
Sb1 Sb 0.250 0.250 0.750
```

=====

Record 7
Computed, not measured: NpFePb after structural relaxation at the PBE level of DFT.

Summary:
**Formation energy**: 0.35 eV/atom
**Fermi-level density of states**: 5.1 states/eV/f.u.
**M_tot**: 2.7 μB/f.u.
**Calculated density**: 11.745 g/cm3

CIF file:
```
data_NpFePb
_chemical_formula_sum 'Np4 Fe4 Pb4'
_cell_length_a 9.219
_cell_length_b 9.219
_cell_length_c 3.327
_cell_angle_alpha 90.00
_cell_angle_beta 90.00
_cell_angle_gamma 90.00
_space_group_name_H-M_alt 'P 42/m'
_space_group_IT_number 84
_space_group_name_Hall '-P 4c'
loop_
_atom_site_label
_atom_site_type_symbol
_atom_site_fract_x
_atom_site_fract_y
_atom_site_fract_z
Np1 Np 0.031 0.773 0.000
Fe1 Fe 0.212 0.247 0.000
Pb1 Pb 0.188 0.490 0.500
```

=====

Record 8
Computed, not measured: Np2FePd9 after structural relaxation at the PBE level of DFT.

Summary:
**Formation energy**: -0.31 eV/atom
**Fermi-level density of states**: 28.1 states/eV/f.u.
**M_tot**: 10.8 μB/f.u.
**Calculated density**: 12.273 g/cm3

CIF file:
```
data_Np2FePd9
_chemical_formula_sum 'Np2 Fe1 Pd9'
_cell_length_a 4.079
_cell_length_b 4.079
_cell_length_c 12.097
_cell_angle_alpha 90.00
_cell_angle_beta 90.00
_cell_angle_gamma 90.00
_space_group_name_H-M_alt 'P 4/m m m'
_space_group_IT_number 123
_space_group_name_Hall '-P 4 2'
loop_
_atom_site_label
_atom_site_type_symbol
_atom_site_fract_x
_atom_site_fract_y
_atom_site_fract_z
Np1 Np 0.000 0.000 0.175
Fe1 Fe 0.000 0.000 0.500
Pd1 Pd 0.000 0.500 0.000
Pd2 Pd 0.000 0.500 0.346
Pd3 Pd 0.500 0.500 0.172
Pd4 Pd 0.500 0.500 0.500
```

=====

Record 9
Computed, not measured: NpFePd after structural relaxation at the PBE level of DFT.

Summary:
**Formation energy**: 0.27 eV/atom
**Fermi-level density of states**: 4.3 states/eV/f.u.
**M_tot**: 1.0 μB/f.u.
**Calculated density**: 13.048 g/cm3

CIF file:
```
data_NpFePd
_chemical_formula_sum 'Np4 Fe4 Pd4'
_cell_length_a 3.187
_cell_length_b 3.187
_cell_length_c 20.014
_cell_angle_alpha 90.00
_cell_angle_beta 90.00
_cell_angle_gamma 90.00
_space_group_name_H-M_alt 'I 4/m m m'
_space_group_IT_number 139
_space_group_name_Hall '-I 4 2'
loop_
_atom_site_label
_atom_site_type_symbol
_atom_site_fract_x
_atom_site_fract_y
_atom_site_fract_z
Np1 Np 0.000 0.000 0.203
Fe1 Fe 0.000 0.000 0.356
Pd1 Pd 0.000 0.000 0.066
```

=====

Record 10
Computed, not measured: NpFePd6 after structural relaxation at the PBE level of DFT.

Summary:
**Formation energy**: -0.25 eV/atom
**Fermi-level density of states**: 14.4 states/eV/f.u.
**M_tot**: 7.3 μB/f.u.
**Calculated density**: 11.886 g/cm3

CIF file:
```
data_NpFePd6
_chemical_formula_sum 'Np1 Fe1 Pd6'
_cell_length_a 4.044
_cell_length_b 4.044
_cell_length_c 7.955
_cell_angle_alpha 90.00
_cell_angle_beta 90.00
_cell_angle_gamma 90.00
_space_group_name_H-M_alt 'P 4/m m m'
_space_group_IT_number 123
_space_group_name_Hall '-P 4 2'
loop_
_atom_site_label
_atom_site_type_symbol
_atom_site_fract_x
_atom_site_fract_y
_atom_site_fract_z
Np1 Np 0.000 0.000 0.000
Fe1 Fe 0.000 0.000 0.500
Pd1 Pd 0.000 0.500 0.262
Pd2 Pd 0.500 0.500 0.000
Pd3 Pd 0.500 0.500 0.500
```

=====

Record 11
Computed, not measured: PuNpFePd after structural relaxation at the PBE level of DFT.

Summary:
**Formation energy**: -0.04 eV/atom
**Fermi-level density of states**: 10.8 states/eV/f.u.
**M_tot**: 2.7 μB/f.u.
**Calculated density**: 16.531 g/cm3

CIF file:
```
data_PuNpFePd
_chemical_formula_sum 'Pu4 Np4 Fe4 Pd4'
_cell_length_a 6.370
_cell_length_b 6.370
_cell_length_c 6.370
_cell_angle_alpha 90.00
_cell_angle_beta 90.00
_cell_angle_gamma 90.00
_space_group_name_H-M_alt 'F -4 3 m'
_space_group_IT_number 216
_space_group_name_Hall 'F -4 2 3'
loop_
_atom_site_label
_atom_site_type_symbol
_atom_site_fract_x
_atom_site_fract_y
_atom_site_fract_z
Pu1 Pu 0.000 0.000 0.000
Np1 Np 0.250 0.250 0.750
Fe1 Fe 0.000 0.000 0.500
Pd1 Pd 0.250 0.250 0.250
```

=====

Record 12
Computed, not measured: NpUFePd after structural relaxation at the PBE level of DFT.

Summary:
**Formation energy**: -0.19 eV/atom
**Fermi-level density of states**: 5.7 states/eV/f.u.
**M_tot**: 3.1 μB/f.u.
**Calculated density**: 15.715 g/cm3

CIF file:
```
data_NpUFePd
_chemical_formula_sum 'Np4 U4 Fe4 Pd4'
_cell_length_a 6.458
_cell_length_b 6.458
_cell_length_c 6.458
_cell_angle_alpha 90.00
_cell_angle_beta 90.00
_cell_angle_gamma 90.00
_space_group_name_H-M_alt 'F -4 3 m'
_space_group_IT_number 216
_space_group_name_Hall 'F -4 2 3'
loop_
_atom_site_label
_atom_site_type_symbol
_atom_site_fract_x
_atom_site_fract_y
_atom_site_fract_z
Np1 Np 0.000 0.000 0.000
U1 U 0.250 0.250 0.750
Fe1 Fe 0.000 0.000 0.500
Pd1 Pd 0.250 0.250 0.250
```